one.
Entry from the Open Quantum Materials Database: a relaxed TmLuPO crystal (PBE-GGA).

Lattice parameters (Å, degrees): 4.0485 7.2607 5.6017 90.00 90.00 90.00
Fractional positions:
Tm: 0.0000 0.1234 0.0000
Tm: 0.0000 0.8766 0.5000
Lu: 0.5000 0.2906 0.4433
Lu: 0.5000 0.7094 0.9433
P: 0.5000 0.3447 0.9341
P: 0.5000 0.6553 0.4341
O: 0.0000 0.1756 0.3890
O: 0.0000 0.8244 0.8890

two.
Entry from the Open Quantum Materials Database: a relaxed TmLuPO crystal (PBE-GGA).

Lattice parameters (Å, degrees): 4.0747 7.3064 5.5996 90.00 90.00 90.00
Fractional positions:
Tm: 0.0000 0.2079 0.0000
Tm: 0.0000 0.7921 0.5000
Lu: 0.5000 0.3783 0.5600
Lu: 0.5000 0.6217 0.0600
P: 0.0000 0.1608 0.4925
P: 0.0000 0.8392 0.9925
O: 0.5000 0.3311 0.9439
O: 0.5000 0.6689 0.4439

three.
Entry from the Open Quantum Materials Database: a relaxed TmLuPO crystal (PBE-GGA).

Lattice parameters (Å, degrees): 4.2347 4.2347 8.3486 90.00 90.00 90.00
Fractional positions:
Tm: 0.2500 0.2500 0.1018
Tm: 0.7500 0.7500 0.8982
Lu: 0.2500 0.7500 0.5000
Lu: 0.7500 0.2500 0.5000
P: 0.2500 0.2500 0.6946
P: 0.7500 0.7500 0.3054
O: 0.2500 0.7500 0.0000
O: 0.7500 0.2500 0.0000

four.
Entry from the Open Quantum Materials Database: a relaxed TmLuPO crystal (PBE-GGA).

Lattice parameters (Å, degrees): 4.2416 4.2416 8.3079 90.00 90.00 90.00
Fractional positions:
Tm: 0.2500 0.7500 0.0000
Tm: 0.7500 0.2500 0.0000
Lu: 0.2500 0.2500 0.4029
Lu: 0.7500 0.7500 0.5971
P: 0.2500 0.2500 0.8011
P: 0.7500 0.7500 0.1989
O: 0.2500 0.7500 0.5000
O: 0.7500 0.2500 0.5000

The structure with the least stability is four.

one.
Entry from the Open Quantum Materials Database: a relaxed Lu2Pa2O5 crystal (PBE-GGA).

Lattice parameters (Å, degrees): 4.2386 4.2386 7.5268 90.00 90.00 90.00
Fractional positions:
Lu: 0.0000 0.0000 0.2241
Lu: 0.0000 0.0000 0.7759
Pa: 0.5000 0.5000 0.0000
Pa: 0.5000 0.5000 0.5000
O: 0.0000 0.0000 0.5000
O: 0.0000 0.5000 0.2407
O: 0.0000 0.5000 0.7593
O: 0.5000 0.0000 0.2407
O: 0.5000 0.0000 0.7593

two.
Entry from the Open Quantum Materials Database: a relaxed Lu2Pa2O5 crystal (PBE-GGA).

Lattice parameters (Å, degrees): 4.2076 4.2076 8.8626 90.00 90.00 90.00
Fractional positions:
Lu: 0.0000 0.0000 0.0000
Lu: 0.0000 0.0000 0.5000
Pa: 0.5000 0.5000 0.2494
Pa: 0.5000 0.5000 0.7506
O: 0.0000 0.5000 0.1696
O: 0.0000 0.5000 0.8304
O: 0.5000 0.0000 0.1696
O: 0.5000 0.0000 0.8304
O: 0.5000 0.5000 0.0000

The structure with the least stability is two.

one.
Entry from the Open Quantum Materials Database: a relaxed Lu2Pb2O5 crystal (PBE-GGA).

Lattice parameters (Å, degrees): 4.4642 4.4642 7.0318 90.00 90.00 90.00
Fractional positions:
Lu: 0.0000 0.0000 0.0000
Lu: 0.0000 0.0000 0.5000
Pb: 0.5000 0.5000 0.2046
Pb: 0.5000 0.5000 0.7954
O: 0.0000 0.5000 0.2224
O: 0.0000 0.5000 0.7776
O: 0.5000 0.0000 0.2224
O: 0.5000 0.0000 0.7776
O: 0.5000 0.5000 0.5000

two.
Entry from the Open Quantum Materials Database: a relaxed Lu2Pb2O5 crystal (PBE-GGA).

Lattice parameters (Å, degrees): 4.2278 4.2278 8.0594 90.00 90.00 90.00
Fractional positions:
Lu: 0.0000 0.0000 0.2466
Lu: 0.0000 0.0000 0.7534
Pb: 0.5000 0.5000 0.0000
Pb: 0.5000 0.5000 0.5000
O: 0.0000 0.0000 0.5000
O: 0.0000 0.5000 0.2019
O: 0.0000 0.5000 0.7981
O: 0.5000 0.0000 0.2019
O: 0.5000 0.0000 0.7981

The structure with the least stability is one.

one.
Entry from the Open Quantum Materials Database: a relaxed Pr2Lu2O5 crystal (PBE-GGA).

Lattice parameters (Å, degrees): 4.2307 4.2307 7.7080 90.00 90.00 90.00
Fractional positions:
Pr: 0.0000 0.0000 0.0000
Pr: 0.0000 0.0000 0.5000
Lu: 0.5000 0.5000 0.2325
Lu: 0.5000 0.5000 0.7675
O: 0.0000 0.5000 0.2438
O: 0.0000 0.5000 0.7562
O: 0.5000 0.0000 0.2438
O: 0.5000 0.0000 0.7562
O: 0.5000 0.5000 0.5000

two.
Entry from the Open Quantum Materials Database: a relaxed Pr2Lu2O5 crystal (PBE-GGA).

Lattice parameters (Å, degrees): 4.3913 4.3913 7.8275 90.00 90.00 90.00
Fractional positions:
Pr: 0.0000 0.0000 0.2249
Pr: 0.0000 0.0000 0.7751
Lu: 0.5000 0.5000 0.0000
Lu: 0.5000 0.5000 0.5000
O: 0.0000 0.0000 0.5000
O: 0.0000 0.5000 0.2941
O: 0.0000 0.5000 0.7059
O: 0.5000 0.0000 0.2941
O: 0.5000 0.0000 0.7059

The structure with the least stability is two.

one.
Entry from the Open Quantum Materials Database: a relaxed RbLuSO crystal (PBE-GGA).

Lattice parameters (Å, degrees): 8.3217 9.1574 5.4179 90.00 90.00 90.00
Fractional positions:
Rb: 0.1197 0.0999 0.0000
Rb: 0.3803 0.0999 0.5000
Rb: 0.6197 0.9001 0.0000
Rb: 0.8803 0.9001 0.5000
Lu: 0.0709 0.6371 0.0027
Lu: 0.4291 0.6371 0.5027
Lu: 0.5709 0.3629 0.0027
Lu: 0.9291 0.3629 0.5027
S: 0.1058 0.6060 0.5029
S: 0.3942 0.6060 0.0029
S: 0.6058 0.3940 0.5029
S: 0.8942 0.3940 0.0029
O: 0.0340 0.1743 0.5003
O: 0.4660 0.1743 0.0003
O: 0.5340 0.8257 0.5003
O: 0.9660 0.8257 0.0003

two.
Entry from the Open Quantum Materials Database: a relaxed RbLuSO crystal (PBE-GGA).

Lattice parameters (Å, degrees): 4.2731 8.2365 6.5329 90.00 90.00 90.00
Fractional positions:
Rb: 0.0000 0.1919 0.0000
Rb: 0.0000 0.8081 0.5000
Lu: 0.5000 0.3791 0.4375
Lu: 0.5000 0.6209 0.9375
S: 0.0000 0.2102 0.5071
S: 0.0000 0.7898 0.0071
O: 0.5000 0.4225 0.1268
O: 0.5000 0.5775 0.6268

The structure with the least stability is one.

one.
Entry from the Open Quantum Materials Database: a relaxed RbLuSeO crystal (PBE-GGA).

Lattice parameters (Å, degrees): 4.1653 4.1653 10.0667 90.00 90.00 90.00
Fractional positions:
Rb: 0.2500 0.7500 0.0000
Rb: 0.7500 0.2500 0.0000
Lu: 0.2500 0.2500 0.4150
Lu: 0.7500 0.7500 0.5850
Se: 0.2500 0.2500 0.7574
Se: 0.7500 0.7500 0.2426
O: 0.2500 0.7500 0.5000
O: 0.7500 0.2500 0.5000

two.
Entry from the Open Quantum Materials Database: a relaxed RbLuSeO crystal (PBE-GGA).

Lattice parameters (Å, degrees): 8.0634 7.2847 6.4447 90.00 99.29 90.00
Fractional positions:
Rb: 0.0912 0.2074 0.4769
Rb: 0.0912 0.2926 0.9769
Rb: 0.9088 0.7074 0.0231
Rb: 0.9088 0.7926 0.5231
Lu: 0.4791 0.6273 0.7809
Lu: 0.4791 0.8727 0.2809
Lu: 0.5209 0.1273 0.7191
Lu: 0.5209 0.3727 0.2191
Se: 0.2556 0.5939 0.3742
Se: 0.2556 0.9061 0.8742
Se: 0.7444 0.0939 0.1258
Se: 0.7444 0.4061 0.6258
O: 0.4141 0.1473 0.3873
O: 0.4141 0.3527 0.8873
O: 0.5859 0.6473 0.1127
O: 0.5859 0.8527 0.6127

The structure with the least stability is one.

one.
Entry from the Open Quantum Materials Database: a relaxed RbLuSeO crystal (PBE-GGA).

Lattice parameters (Å, degrees): 4.0374 4.0374 12.0941 99.39 99.39 90.00
Fractional positions:
Rb: 0.1827 0.1827 0.3875
Rb: 0.8173 0.8173 0.6125
Lu: 0.5456 0.0327 0.0816
Lu: 0.9673 0.4544 0.9184
Se: 0.3804 0.3810 0.7391
Se: 0.6190 0.6196 0.2609
O: 0.0070 0.9930 0.0000
O: 0.5077 0.4923 0.0000

two.
Entry from the Open Quantum Materials Database: a relaxed RbLuSeO crystal (PBE-GGA).

Lattice parameters (Å, degrees): 4.4428 8.4240 6.6644 90.00 90.00 90.00
Fractional positions:
Rb: 0.0000 0.1992 0.0000
Rb: 0.0000 0.8008 0.5000
Lu: 0.5000 0.3861 0.4298
Lu: 0.5000 0.6139 0.9298
Se: 0.0000 0.2096 0.5043
Se: 0.0000 0.7904 0.0043
O: 0.5000 0.4267 0.1253
O: 0.5000 0.5733 0.6253

The structure with the least stability is two.

one.
Entry from the Open Quantum Materials Database: a relaxed Sr2LuReO6 crystal (PBE-GGA).

Lattice parameters (Å, degrees): 5.7119 5.7161 10.0300 90.00 124.72 90.00
Fractional positions:
Sr: 0.2495 0.0073 0.2500
Sr: 0.2495 0.4927 0.7500
Sr: 0.7505 0.5073 0.2500
Sr: 0.7505 0.9927 0.7500
Lu: 0.0000 0.0000 0.5000
Lu: 0.0000 0.5000 0.0000
Re: 0.5000 0.0000 0.0000
Re: 0.5000 0.5000 0.5000
O: 0.2179 0.6886 0.5059
O: 0.2179 0.8114 0.0059
O: 0.2474 0.0039 0.7599
O: 0.2474 0.4961 0.2599
O: 0.3180 0.2120 0.5065
O: 0.3180 0.2880 0.0065
O: 0.6820 0.7120 0.9935
O: 0.6820 0.7880 0.4935
O: 0.7526 0.5039 0.7401
O: 0.7526 0.9961 0.2401
O: 0.7821 0.1886 0.9941
O: 0.7821 0.3114 0.4941

two.
Entry from the Open Quantum Materials Database: a relaxed Sr2LuReO6 crystal (PBE-GGA).

Lattice parameters (Å, degrees): 5.7445 5.7475 9.9223 90.00 125.19 90.00
Fractional positions:
Sr: 0.2439 0.0284 0.2495
Sr: 0.2439 0.4716 0.7495
Sr: 0.7561 0.5284 0.2505
Sr: 0.7561 0.9716 0.7505
Lu: 0.5000 0.0000 0.0000
Lu: 0.5000 0.5000 0.5000
Re: 0.0000 0.0000 0.5000
Re: 0.0000 0.5000 0.0000
O: 0.1685 0.2276 0.9636
O: 0.1685 0.2724 0.4636
O: 0.2342 0.7073 0.9639
O: 0.2342 0.7927 0.4639
O: 0.3078 0.0133 0.7385
O: 0.3078 0.4867 0.2385
O: 0.6922 0.5133 0.7615
O: 0.6922 0.9867 0.2615
O: 0.7658 0.2073 0.5361
O: 0.7658 0.2927 0.0361
O: 0.8315 0.7276 0.5364
O: 0.8315 0.7724 0.0364

The structure with the least stability is one.

one.
Entry from the Open Quantum Materials Database: a relaxed LuTlSeO crystal (PBE-GGA).

Lattice parameters (Å, degrees): 5.6053 5.6081 12.5160 90.00 92.18 90.00
Fractional positions:
Lu: 0.0042 0.0000 0.0787
Lu: 0.4940 0.0016 0.9205
Lu: 0.5060 0.5016 0.0795
Lu: 0.9958 0.5000 0.9213
Tl: 0.1197 0.2732 0.4907
Tl: 0.4953 0.5214 0.6434
Tl: 0.5047 0.0214 0.3566
Tl: 0.8803 0.7732 0.5093
Se: 0.2015 0.3169 0.2420
Se: 0.2066 0.2254 0.7534
Se: 0.7934 0.7254 0.2466
Se: 0.7985 0.8169 0.7580
O: 0.2500 0.7496 0.0000
O: 0.2529 0.2479 0.0003
O: 0.7471 0.7479 0.9997
O: 0.7500 0.2496 0.0000

two.
Entry from the Open Quantum Materials Database: a relaxed LuTlSeO crystal (PBE-GGA).

Lattice parameters (Å, degrees): 4.4058 8.1158 6.5455 90.00 90.00 90.00
Fractional positions:
Lu: 0.0000 0.1216 0.0000
Lu: 0.0000 0.8784 0.5000
Tl: 0.5000 0.2960 0.5813
Tl: 0.5000 0.7040 0.0813
Se: 0.5000 0.3054 0.0785
Se: 0.5000 0.6946 0.5785
O: 0.0000 0.0776 0.6916
O: 0.0000 0.9224 0.1916

The structure with the least stability is two.